No. 1
Material: NaPPtO
Method: DFT, PBE
State: relaxed

Lattice parameters (Å, degrees): 4.0944 4.2225 7.0576 90.00 90.00 90.00
Space group Pmc2_1 (No. 26)
One atom of each set of equivalent atoms:
Na: 0.0000 0.2327 0.0000 (multiplicity 2)
P: 0.5000 0.2438 0.6814 (multiplicity 2)
Pt: 0.5000 0.2315 0.3510 (multiplicity 2)
O: 0.0000 0.3262 0.3148 (multiplicity 2)

---

No. 2
Material: NaTaPO
Method: DFT, PBE
State: relaxed

Lattice parameters (Å, degrees): 3.8207 6.6991 5.0973 90.00 90.00 90.00
Space group Pmc2_1 (No. 26)
One atom of each set of equivalent atoms:
Na: 0.0000 0.9997 0.0000 (multiplicity 2)
Ta: 0.5000 0.3628 0.2472 (multiplicity 2)
P: 0.5000 0.2773 0.7480 (multiplicity 2)
O: 0.0000 0.2821 0.2484 (multiplicity 2)

---

No. 3
Material: NaTaPO
Method: DFT, PBE
State: relaxed

Lattice parameters (Å, degrees): 3.4905 6.8231 5.8333 90.00 90.00 90.00
Space group Pmc2_1 (No. 26)
One atom of each set of equivalent atoms:
Na: 0.0000 0.0994 0.0000 (multiplicity 2)
Ta: 0.5000 0.4976 0.2697 (multiplicity 2)
P: 0.0000 0.3101 0.5232 (multiplicity 2)
O: 0.5000 0.2939 0.0210 (multiplicity 2)

---

No. 4
Material: NaTaPO
Method: DFT, PBE
State: relaxed

Lattice parameters (Å, degrees): 4.9573 4.9573 4.6441 90.00 90.00 90.00
Space group P4/nmm (No. 129, origin choice 2)
One atom of each set of equivalent atoms:
Na: 0.2500 0.2500 0.0009 (multiplicity 2)
Ta: 0.2500 0.7500 0.5000 (multiplicity 2)
P: 0.2500 0.2500 0.5006 (multiplicity 2)
O: 0.2500 0.7500 0.0000 (multiplicity 2)

---

No. 5
Material: NaTaPO
Method: DFT, PBE
State: relaxed

Lattice parameters (Å, degrees): 3.5026 3.5026 9.1934 90.00 90.00 90.00
Space group P4/nmm (No. 129, origin choice 2)
One atom of each set of equivalent atoms:
Na: 0.2500 0.7500 0.0000 (multiplicity 2)
Ta: 0.2500 0.2500 0.3609 (multiplicity 2)
P: 0.2500 0.2500 0.7668 (multiplicity 2)
O: 0.2500 0.7500 0.5000 (multiplicity 2)

---

No. 6
Material: NaTaP2O8
Method: DFT, PBE
State: relaxed

Lattice parameters (Å, degrees): 8.2006 5.2561 7.1836 90.00 91.50 90.00
Space group C2/m (No. 12)
One atom of each set of equivalent atoms:
Na: 0.0000 0.0000 0.0000 (multiplicity 2)
Ta: 0.0000 0.0000 0.5000 (multiplicity 2)
P: 0.1412 0.5000 0.2645 (multiplicity 4)
O: 0.0320 0.2612 0.3034 (multiplicity 8)
O: 0.2118 0.5000 0.0770 (multiplicity 4)
O: 0.2303 0.0000 0.5693 (multiplicity 4)

---

| no. | magnetic moment (μB per formula unit) | uncorrected energy (eV/f.u.) | calculated density (g cm⁻³) |
| --- | --- | --- | --- |
| 1 | 0.01 | -19.4 | 7.214 |
| 2 | 0.01 | -28.2 | 6.387 |
| 3 | 0.00 | -28.7 | 5.998 |
| 4 | 0.00 | -26.9 | 7.301 |
| 5 | 0.96 | -27.1 | 7.388 |
| 6 | 0.00 | -92.5 | 4.226 |